# 1
# B3Mo (SCAN, PBEsol geometry)
data_B3Mo
_chemical_formula_sum 'B18 Mo6'
_cell_length_a 5.2032
_cell_length_b 5.2032
_cell_length_c 9.2503
_cell_angle_alpha 90.00
_cell_angle_beta 90.00
_cell_angle_gamma 120.00
_space_group_name_H-M_alt 'R -3 m'
_space_group_IT_number 166
_space_group_name_Hall '-R 3 2"'
loop_
_atom_site_label
_atom_site_type_symbol
_atom_site_fract_x
_atom_site_fract_y
_atom_site_fract_z
B1 B 0.0000 0.3350 0.0000
Mo1 Mo 0.0000 0.0000 0.1647
# - Uncorrected energy: -14.614 eV per atom
# - DOS at the Fermi energy: 0.11 states/eV/atom


# 2
# CuNi2Ir (SCAN, PBEsol geometry)
data_CuNi2Ir
_chemical_formula_sum 'Cu2 Ni4 Ir2'
_cell_length_a 3.607
_cell_length_b 3.607
_cell_length_c 7.131
_cell_angle_alpha 90.00
_cell_angle_beta 90.00
_cell_angle_gamma 90.00
_space_group_name_H-M_alt 'I 4/m m m'
_space_group_IT_number 139
_space_group_name_Hall '-I 4 2'
loop_
_atom_site_label
_atom_site_type_symbol
_atom_site_fract_x
_atom_site_fract_y
_atom_site_fract_z
Cu1 Cu 0.000 0.000 0.000
Ni1 Ni 0.000 0.500 0.250
Ir1 Ir 0.000 0.000 0.500
# - Uncorrected energy: -29.592 eV per atom
# - DOS at the Fermi energy: 0.86 states/eV/atom


# 3
# Al3GaCu (SCAN, PBEsol geometry)
data_Al3GaCu
_chemical_formula_sum 'Al3 Ga1 Cu1'
_cell_length_a 4.742
_cell_length_b 4.742
_cell_length_c 4.742
_cell_angle_alpha 90.00
_cell_angle_beta 90.00
_cell_angle_gamma 90.00
_space_group_name_H-M_alt 'P m -3 m'
_space_group_IT_number 221
_space_group_name_Hall '-P 4 2 3'
loop_
_atom_site_label
_atom_site_type_symbol
_atom_site_fract_x
_atom_site_fract_y
_atom_site_fract_z
Al1 Al 0.000 0.000 0.500
Ga1 Ga 0.000 0.000 0.000
Cu1 Cu 0.500 0.500 0.500
# - Uncorrected energy: -10.094 eV per atom
# - DOS at the Fermi energy: 0.48 states/eV/atom


# 4
# MnOsBr3 (SCAN, PBEsol geometry)
data_MnOsBr3
_chemical_formula_sum 'Mn1 Os1 Br3'
_cell_length_a 4.987
_cell_length_b 4.987
_cell_length_c 4.987
_cell_angle_alpha 90.00
_cell_angle_beta 90.00
_cell_angle_gamma 90.00
_space_group_name_H-M_alt 'P m -3 m'
_space_group_IT_number 221
_space_group_name_Hall '-P 4 2 3'
loop_
_atom_site_label
_atom_site_type_symbol
_atom_site_fract_x
_atom_site_fract_y
_atom_site_fract_z
Mn1 Mn 0.000 0.000 0.000
Os1 Os 0.500 0.500 0.500
Br1 Br 0.000 0.500 0.500
# - Formation energy (no corrections): 528 meV/atom
# - DOS at the Fermi energy: 0.60 states/eV/atom


# 5
# LiRePPt2 (SCAN, PBEsol geometry)
data_LiRePPt2
_chemical_formula_sum 'Li1 Re1 P1 Pt2'
_cell_length_a 4.457
_cell_length_b 4.457
_cell_length_c 4.360
_cell_angle_alpha 90.00
_cell_angle_beta 90.00
_cell_angle_gamma 90.00
_space_group_name_H-M_alt 'P 4/m m m'
_space_group_IT_number 123
_space_group_name_Hall '-P 4 2'
loop_
_atom_site_label
_atom_site_type_symbol
_atom_site_fract_x
_atom_site_fract_y
_atom_site_fract_z
Li1 Li 0.000 0.000 0.000
Re1 Re 0.500 0.500 0.000
P1 P 0.500 0.500 0.500
Pt1 Pt 0.000 0.500 0.500
# - Uncorrected energy: -44.599 eV per atom
# - DOS at the Fermi energy: 0.25 states/eV/atom


# 6
# NbSnSeBr2 (SCAN, PBEsol geometry)
data_NbSnSeBr2
_chemical_formula_sum 'Nb1 Sn1 Se1 Br2'
_cell_length_a 5.122
_cell_length_b 5.122
_cell_length_c 5.017
_cell_angle_alpha 90.00
_cell_angle_beta 90.00
_cell_angle_gamma 90.00
_space_group_name_H-M_alt 'P 4/m m m'
_space_group_IT_number 123
_space_group_name_Hall '-P 4 2'
loop_
_atom_site_label
_atom_site_type_symbol
_atom_site_fract_x
_atom_site_fract_y
_atom_site_fract_z
Nb1 Nb 0.000 0.000 0.000
Sn1 Sn 0.500 0.500 0.500
Se1 Se 0.000 0.000 0.500
Br1 Br 0.000 0.500 0.000
# - Formation energy (no corrections): -177 meV/atom
# - DOS at the Fermi energy: 0.46 states/eV/atom


# 7
# SrNi2Sb (SCAN, PBEsol geometry)
data_SrNi2Sb
_chemical_formula_sum 'Sr3 Ni6 Sb3'
_cell_length_a 4.1609
_cell_length_b 4.1609
_cell_length_c 16.6463
_cell_angle_alpha 90.00
_cell_angle_beta 90.00
_cell_angle_gamma 120.00
_space_group_name_H-M_alt 'R 3 m'
_space_group_IT_number 160
_space_group_name_Hall 'R 3 -2"'
loop_
_atom_site_label
_atom_site_type_symbol
_atom_site_fract_x
_atom_site_fract_y
_atom_site_fract_z
Sr1 Sr 0.0000 0.0000 0.0000
Ni1 Ni 0.0000 0.0000 0.4708
Ni2 Ni 0.0000 0.0000 0.7987
Sb1 Sb 0.0000 0.0000 0.1920
# - Formation energy (no corrections): -414 meV/atom
# - DOS at the Fermi energy: 0.49 states/eV/atom


# 8
# YMoPb (SCAN, PBEsol geometry)
data_YMoPb
_chemical_formula_sum 'Y4 Mo4 Pb4'
_cell_length_a 6.716
_cell_length_b 6.716
_cell_length_c 6.716
_cell_angle_alpha 90.00
_cell_angle_beta 90.00
_cell_angle_gamma 90.00
_space_group_name_H-M_alt 'F -4 3 m'
_space_group_IT_number 216
_space_group_name_Hall 'F -4 2 3'
loop_
_atom_site_label
_atom_site_type_symbol
_atom_site_fract_x
_atom_site_fract_y
_atom_site_fract_z
Y1 Y 0.000 0.000 0.000
Mo1 Mo 0.250 0.250 0.750
Pb1 Pb 0.000 0.000 0.500
# - Uncorrected energy: -45.656 eV per atom
# - DOS at the Fermi energy: 1.00 states/eV/atom


# 9
# In2PSe (SCAN, PBEsol geometry)
data_In2PSe
_chemical_formula_sum 'In2 P1 Se1'
_cell_length_a 3.977
_cell_length_b 3.977
_cell_length_c 5.564
_cell_angle_alpha 90.00
_cell_angle_beta 90.00
_cell_angle_gamma 90.00
_space_group_name_H-M_alt 'P 4/m m m'
_space_group_IT_number 123
_space_group_name_Hall '-P 4 2'
loop_
_atom_site_label
_atom_site_type_symbol
_atom_site_fract_x
_atom_site_fract_y
_atom_site_fract_z
In1 In 0.000 0.000 0.000
In2 In 0.500 0.500 0.500
P1 P 0.000 0.000 0.500
Se1 Se 0.500 0.500 0.000
# - Formation energy (no corrections): -271 meV/atom
# - DOS at the Fermi energy: 0.20 states/eV/atom


# 10
# HfBe2Ag (SCAN, PBEsol geometry)
data_HfBe2Ag
_chemical_formula_sum 'Hf4 Be8 Ag4'
_cell_length_a 4.028
_cell_length_b 4.028
_cell_length_c 15.688
_cell_angle_alpha 90.00
_cell_angle_beta 90.00
_cell_angle_gamma 90.00
_space_group_name_H-M_alt 'I 41/a m d'
_space_group_IT_number 141
loop_
_space_group_symop_operation_xyz
'x,y,z'
'-x,-y,-z'
'-y+1/4,x+3/4,z+1/4'
'y+1/4,-x+3/4,-z+1/4'
'-x+1/2,-y,z+1/2'
'x+1/2,y,-z+1/2'
'y+1/4,-x+1/4,z+3/4'
'-y+1/4,x+1/4,-z+3/4'
'x,-y,-z'
'-x,y,z'
'-y+1/4,-x+1/4,-z+3/4'
'y+1/4,x+1/4,z+3/4'
'-x+1/2,y,-z+1/2'
'x+1/2,-y,z+1/2'
'y+1/4,x+3/4,-z+1/4'
'-y+1/4,-x+3/4,z+1/4'
'x+1/2,y+1/2,z+1/2'
'-x+1/2,-y+1/2,-z+1/2'
'-y+3/4,x+1/4,z+3/4'
'y+3/4,-x+1/4,-z+3/4'
'-x,-y+1/2,z'
'x,y+1/2,-z'
'y+3/4,-x+3/4,z+1/4'
'-y+3/4,x+3/4,-z+1/4'
'x+1/2,-y+1/2,-z+1/2'
'-x+1/2,y+1/2,z+1/2'
'-y+3/4,-x+3/4,-z+1/4'
'y+3/4,x+3/4,z+1/4'
'-x,y+1/2,-z'
'x,-y+1/2,z'
'y+3/4,x+1/4,-z+3/4'
'-y+3/4,-x+1/4,z+3/4'
loop_
_atom_site_label
_atom_site_type_symbol
_atom_site_fract_x
_atom_site_fract_y
_atom_site_fract_z
Hf1 Hf 0.000 0.250 0.375
Be1 Be 0.000 0.000 0.000
Ag1 Ag 0.000 0.250 0.875
# - Uncorrected energy: -25.200 eV per atom
# - DOS at the Fermi energy: 0.55 states/eV/atom


# 11
# LaBHAu2 (SCAN, PBEsol geometry)
data_LaBHAu2
_chemical_formula_sum 'La1 B1 H1 Au2'
_cell_length_a 5.660
_cell_length_b 5.660
_cell_length_c 5.226
_cell_angle_alpha 90.00
_cell_angle_beta 90.00
_cell_angle_gamma 90.00
_space_group_name_H-M_alt 'P 4/m m m'
_space_group_IT_number 123
_space_group_name_Hall '-P 4 2'
loop_
_atom_site_label
_atom_site_type_symbol
_atom_site_fract_x
_atom_site_fract_y
_atom_site_fract_z
La1 La 0.000 0.000 0.000
B1 B 0.000 0.000 0.500
H1 H 0.500 0.500 0.500
Au1 Au 0.000 0.500 0.000
# - Uncorrected energy: -36.999 eV per atom
# - DOS at the Fermi energy: 0.38 states/eV/atom


# 12
# BeI2OF (SCAN, PBEsol geometry)
data_BeI2OF
_chemical_formula_sum 'Be1 I2 O1 F1'
_cell_length_a 5.870
_cell_length_b 5.870
_cell_length_c 2.895
_cell_angle_alpha 90.00
_cell_angle_beta 90.00
_cell_angle_gamma 90.00
_space_group_name_H-M_alt 'P 4/m m m'
_space_group_IT_number 123
_space_group_name_Hall '-P 4 2'
loop_
_atom_site_label
_atom_site_type_symbol
_atom_site_fract_x
_atom_site_fract_y
_atom_site_fract_z
Be1 Be 0.000 0.000 0.000
I1 I 0.000 0.500 0.000
O1 O 0.000 0.000 0.500
F1 F 0.500 0.500 0.500
# - Formation energy (no corrections): -733 meV/atom
# - DOS at the Fermi energy: 0.67 states/eV/atom


# 13
# LiCrTc2 (SCAN, PBEsol geometry)
data_LiCrTc2
_chemical_formula_sum 'Li1 Cr1 Tc2'
_cell_length_a 3.018
_cell_length_b 4.138
_cell_length_c 4.156
_cell_angle_alpha 90.00
_cell_angle_beta 90.00
_cell_angle_gamma 90.00
_space_group_name_H-M_alt 'P m m m'
_space_group_IT_number 47
_space_group_name_Hall '-P 2 2'
loop_
_atom_site_label
_atom_site_type_symbol
_atom_site_fract_x
_atom_site_fract_y
_atom_site_fract_z
Li1 Li 0.000 0.000 0.000
Cr1 Cr 0.500 0.000 0.500
Tc1 Tc 0.000 0.500 0.500
Tc2 Tc 0.500 0.500 0.000
# - Uncorrected energy: -22.504 eV per atom
# - DOS at the Fermi energy: 0.57 states/eV/atom